Record 1
# KYCu2Ag

Crystalline KYCu2Ag at its relaxed geometry (PBE, Alexandria).

a b c (Å): 4.9127 4.9127 5.5778
angles (deg): 90.00 90.00 90.00
Positions (direct):
K1 0.0000 0.0000 0.0000
Y1 0.0000 0.0000 0.5000
Cu1 0.0000 0.5000 0.0000
Cu2 0.5000 0.0000 0.0000
Ag1 0.5000 0.5000 0.5000

Computed properties:
Space group: P4/mmm
Calculated formation energy: 1461 meV/atom
Total DFT energy (no corrections): -11.30 eV for the cell shown
DOS(E_F): 3.1 states/eV/cell

***

Record 2
# KZn2CuAg

Crystalline KZn2CuAg at its relaxed geometry (PBE, Alexandria).

a b c (Å): 4.7874 4.7874 5.1653
angles (deg): 90.00 90.00 90.00
Positions (direct):
K1 0.0000 0.0000 0.0000
Zn1 0.0000 0.5000 0.5000
Zn2 0.5000 0.0000 0.5000
Cu1 0.5000 0.5000 0.5000
Ag1 0.5000 0.5000 0.0000

Computed properties:
Space group: P4/mmm
Calculated formation energy: 131 meV/atom
Total DFT energy (no corrections): -9.94 eV for the cell shown
DOS(E_F): 1.5 states/eV/cell

***

Record 3
# KZrCuAg2

Crystalline KZrCuAg2 at its relaxed geometry (PBE, Alexandria).

a b c (Å): 5.2254 5.2254 5.5104
angles (deg): 90.00 90.00 90.00
Positions (direct):
K1 0.0000 0.0000 0.0000
Zr1 0.0000 0.0000 0.5000
Cu1 0.5000 0.5000 0.5000
Ag1 0.0000 0.5000 0.0000
Ag2 0.5000 0.0000 0.0000

Computed properties:
Space group: P4/mmm
Calculated formation energy: 1848 meV/atom
Total DFT energy (no corrections): -10.21 eV for the cell shown
DOS(E_F): 3.8 states/eV/cell

***

Record 4
# La2CuAg

Crystalline La2CuAg at its relaxed geometry (PBE, Alexandria).

a b c (Å): 3.7501 3.7501 7.4332
angles (deg): 90.00 90.00 90.00
Positions (direct):
La1 0.0000 0.0000 0.2324
La2 0.0000 0.0000 0.7676
Cu1 0.5000 0.5000 0.0000
Ag1 0.5000 0.5000 0.5000

Computed properties:
Space group: P4/mmm
Calculated formation energy: -200 meV/atom
Total DFT energy (no corrections): -17.60 eV for the cell shown
DOS(E_F): 3.7 states/eV/cell